Below is a geometry-optimized CeTc5P6 structure, with properties calculated at the PBE level.

Summary:
* theoretical density: 7.28 g/cm³
* E_form: -0.57 eV/atom
* total magnetization: 0.0 μB per formula unit

a = 5.656 Å, b = 11.026 Å, c = 6.032 Å
α = 90.00°, β = 98.39°, γ = 90.00°
Space group C2/m (No. 12)
Asymmetric unit:
Ce  0.000  0.000  0.000 (multiplicity 2)
Tc  0.000  0.000  0.500 (multiplicity 2)
Tc  0.000  0.310  0.000 (multiplicity 4)
Tc  0.000  0.373  0.500 (multiplicity 4)
P  0.118  0.500  0.214 (multiplicity 4)
P  0.127  0.192  0.317 (multiplicity 8)